*a*
Here is an optimized crystal structure of BiMo2O10 from the Alexandria database. Energies are from GGA+U.

a b c (Å): 6.0161 11.8039 6.3124
angles (deg): 90.00 115.59 90.00
Last column: nearest neighbours and their distance in Å.
Atoms (fractional coordinates):
Bi  0.2247  0.2500  0.1471  7 O 2.35-2.51
Bi  0.7753  0.7500  0.8529  7 O 2.35-2.51
Mo  0.4098  0.5971  0.3021  3 O 1.73-1.93
Mo  0.4098  0.9029  0.3021  3 O 1.73-1.93
Mo  0.5903  0.0971  0.6979  3 O 1.73-1.93
Mo  0.5903  0.4029  0.6979  3 O 1.73-1.93
O  0.0041  0.1552  0.3343  1 O 1.36
O  0.0041  0.3448  0.3343  1 O 1.36
O  0.0727  0.7500  0.5932  2 O 1.36
O  0.0919  0.6240  0.1414  1 Mo 1.76
O  0.0919  0.8760  0.1414  1 Mo 1.76
O  0.4207  0.0659  0.3360  2 Mo 1.93-2.09
O  0.4207  0.4341  0.3360  2 Mo 1.93-2.09
O  0.4497  0.1202  0.8822  1 Mo 1.73
O  0.4497  0.3798  0.8822  1 Mo 1.73
O  0.4906  0.7500  0.4547  2 Mo 2.00
O  0.5094  0.2500  0.5453  2 Mo 2.00
O  0.5503  0.6202  0.1178  1 Mo 1.73
O  0.5503  0.8798  0.1178  1 Mo 1.73
O  0.5793  0.5659  0.6640  2 Mo 1.93-2.09
O  0.5793  0.9341  0.6640  2 Mo 1.93-2.09
O  0.9081  0.1240  0.8586  1 Mo 1.76
O  0.9081  0.3760  0.8586  1 Mo 1.76
O  0.9273  0.2500  0.4068  2 O 1.36
O  0.9959  0.6552  0.6657  1 O 1.36
O  0.9959  0.8448  0.6657  1 O 1.36



*b*
Here is an optimized crystal structure of BiMo2O10 from the Alexandria database. Energies are from GGA+U.

a b c (Å): 5.6244 11.5675 6.0345
angles (deg): 90.00 109.05 90.00
Last column: nearest neighbours and their distance in Å.
Atoms (fractional coordinates):
Bi  0.1309  0.2500  0.2579  6 O 2.29-2.46
Bi  0.8691  0.7500  0.7421  6 O 2.29-2.46
Mo  0.3057  0.5963  0.3510  3 O 1.74-1.91
Mo  0.3057  0.9037  0.3510  3 O 1.74-1.91
Mo  0.6943  0.0963  0.6490  3 O 1.74-1.91
Mo  0.6943  0.4037  0.6490  3 O 1.74-1.91
O  0.1035  0.6209  0.0548  1 Mo 1.80
O  0.1028  0.6253  0.5095  1 Mo 1.74
O  0.1028  0.8747  0.5095  1 Mo 1.74
O  0.1035  0.8791  0.0548  1 Mo 1.80
O  0.3429  0.0674  0.3789  1 Mo 1.91
O  0.3429  0.4326  0.3789  1 Mo 1.91
O  0.4473  0.2500  0.0954  2 O 2.26, 1 Bi 2.29
O  0.4666  0.0855  0.8987  3 O 2.26-2.38, 1 Mo 2.28
O  0.4666  0.4145  0.8987  3 O 2.26-2.38, 1 Mo 2.28
O  0.4768  0.7500  0.4051  2 Mo 2.00
O  0.5232  0.2500  0.5949  2 Mo 2.00
O  0.5334  0.5855  0.1013  3 O 2.26-2.38, 1 Mo 2.28
O  0.5334  0.9145  0.1013  3 O 2.26-2.38, 1 Mo 2.28
O  0.5527  0.7500  0.9046  2 O 2.26, 1 Bi 2.29
O  0.6571  0.5674  0.6211  1 Mo 1.91
O  0.6571  0.9326  0.6211  1 Mo 1.91
O  0.8965  0.1209  0.9452  1 Mo 1.80
O  0.8972  0.1253  0.4905  1 Mo 1.74
O  0.8972  0.3747  0.4905  1 Mo 1.74
O  0.8965  0.3791  0.9452  1 Mo 1.80



Most favorable first, least favorable last: *a*, *b*



*a*
Here is an optimized crystal structure of BiMoPO2 from the Alexandria database. Energies are from GGA+U.

a b c (Å): 4.1508 4.1508 5.5511
angles (deg): 90.00 90.00 90.00
Last column: nearest neighbours and their distance in Å.
Atoms (fractional coordinates):
Bi  0.0000  0.0000  0.0000  4 O 2.08
Mo  0.5000  0.5000  0.5000  4 P 2.94
P  0.0000  0.0000  0.5000  2 Bi 2.78, 4 Mo 2.94
O  0.0000  0.5000  0.0000  2 Bi 2.08
O  0.5000  0.0000  0.0000  2 Bi 2.08



*b*
Here is an optimized crystal structure of BiMoPO2 from the Alexandria database. Energies are from GGA+U.

a b c (Å): 4.0384 4.0384 5.1919
angles (deg): 90.00 90.00 90.00
Last column: nearest neighbours and their distance in Å.
Atoms (fractional coordinates):
Bi  0.0000  0.0000  0.0000  4 P 2.86
Mo  0.5000  0.5000  0.5000  4 O 2.02
P  0.5000  0.5000  0.0000  2 Mo 2.60, 4 Bi 2.86
O  0.0000  0.5000  0.5000  2 Mo 2.02
O  0.5000  0.0000  0.5000  2 Mo 2.02



Most favorable first, least favorable last: *b*, *a*